Na3Sc3CrO8: relaxed, GGA+U.

a = 6.262 Å, b = 6.262 Å, c = 6.576 Å
α = 118.25°, β = 118.25°, γ = 59.54°
Positions (direct):
Na1 0.000 0.000 0.000
Na2 0.000 0.500 0.000
Na3 0.500 0.000 0.000
Sc1 0.000 0.500 0.500
Sc2 0.500 0.000 0.500
Sc3 0.500 0.500 0.500
Cr1 0.000 0.000 0.500
O1 0.217 0.756 0.690
O2 0.223 0.223 0.693
O3 0.244 0.783 0.310
O4 0.268 0.268 0.300
O5 0.732 0.732 0.700
O6 0.756 0.217 0.690
O7 0.777 0.777 0.307
O8 0.783 0.244 0.310

Values from the calculation:
Total moment: 1.99 Bohr magnetons per cell
SG: C2/m (12)
Electronic total energy: -0.2672 hartree per atom